Entry 1:
VASP calculation (GGA-PBE) on crystalline Na2UAs3Pd4 at its relaxed geometry.

It has space group P-4m2 (No. 115), with a = 4.203 Å, b = 4.203 Å, c = 11.577 Å, α = 90.00°, β = 90.00° and γ = 90.00°. The inequivalent atoms are Na at (0.000, 0.500, 0.219), U at (0.000, 0.000, 0.500), As at (0.000, 0.500, 0.875), As at (0.500, 0.500, 0.500), Pd at (0.000, 0.000, 0.000), Pd at (0.000, 0.500, 0.663) and Pd at (0.500, 0.500, 0.000).

The calculation puts the total moment at 2.7 μB/f.u. The formation energy is -0.38 eV per atom. The calculation puts the electronic total energy at -52.5 eV for the cell shown.



Entry 2:
VASP calculation (GGA-PBE) on crystalline Cs3AsO3 at its relaxed geometry.

It has space group Cmcm (No. 63), with a = 8.907 Å, b = 15.400 Å, c = 6.299 Å, α = 90.00°, β = 90.00° and γ = 90.00°. The inequivalent atoms are Cs at (0.000, 0.178, 0.250), Cs at (0.232, 0.411, 0.250), As at (0.000, 0.333, 0.750), O at (0.000, 0.212, 0.750) and O at (0.181, 0.394, 0.750).

Its energy relative to the elements, uncorrected is -1154.4 meV/atom. The calculation puts the total moment at 0.0 μB/f.u. The calculation puts the electronic total energy at -120.7 eV for the cell shown.



Entry 3:
VASP calculation (GGA-PBE) on crystalline Ba2TlSe at its relaxed geometry.

It has space group P4mm (No. 99), with a = 4.522 Å, b = 4.522 Å, c = 8.981 Å, α = 90.00°, β = 90.00° and γ = 90.00°. The inequivalent atoms are Ba at (0.000, 0.000, 0.000), Ba at (0.500, 0.500, 0.426), Tl at (0.500, 0.500, 0.829) and Se at (0.000, 0.000, 0.351).

The calculation puts the polymorph energy (0 for the lowest one) at 118 meV per atom. Its energy relative to the elements, uncorrected is -957.5 meV/atom. The calculation puts the total moment at 0.0 μB/f.u. The calculation puts the electronic total energy at -13.5 eV for the cell shown.



Entry 4:
VASP calculation (GGA-PBE) on crystalline Ho4Tl at its relaxed geometry.

It has space group Fdd2 (No. 43), with a = 11.757 Å, b = 16.237 Å, c = 6.158 Å, α = 90.00°, β = 90.00° and γ = 90.00°. The inequivalent atoms are Ho at (0.033, 0.300, 0.000), Ho at (0.049, 0.401, 0.493) and Tl at (0.000, 0.000, 0.463).

The calculation puts the polymorph energy (0 for the lowest one) at 52 meV per atom. The calculation puts the total moment at 0.0 μB/f.u. The formation energy is -0.07 eV per atom. The calculation puts the electronic total energy at -168.2 eV for the cell shown.



Entry 5:
VASP calculation (GGA-PBE) on crystalline BaHfTeSe2 at its relaxed geometry.

It has space group P4/mmm (No. 123), with a = 5.220 Å, b = 5.220 Å, c = 5.745 Å, α = 90.00°, β = 90.00° and γ = 90.00°. The inequivalent atoms are Ba at (0.000, 0.000, 0.000), Hf at (0.500, 0.500, 0.500), Te at (0.500, 0.500, 0.000) and Se at (0.000, 0.500, 0.500).

Its energy relative to the elements, uncorrected is -1389.5 meV/atom. The calculation puts the total moment at 0.0 μB/f.u. The calculation puts the electronic total energy at -28.9 eV for the cell shown.



Entry 6:
VASP calculation (GGA-PBE) on crystalline Ba4AuBr at its relaxed geometry.

It has space group F-43m (No. 216), with a = 10.454 Å, b = 10.454 Å, c = 10.454 Å, α = 90.00°, β = 90.00° and γ = 90.00°. The inequivalent atoms are Ba at (0.125, 0.125, 0.125), Au at (0.000, 0.000, 0.500) and Br at (0.250, 0.250, 0.750).

The calculation puts the polymorph energy (0 for the lowest one) at 831 meV per atom. Its energy relative to the elements, uncorrected is 84.4 meV/atom. The calculation puts the total moment at 0.0 μB/f.u. The calculation puts the electronic total energy at -48.5 eV for the cell shown.



Entry 7:
VASP calculation (GGA-PBE) on crystalline TbPuSe at its relaxed geometry.

It has space group P-6m2 (No. 187), with a = 4.9107 Å, b = 4.9107 Å, c = 3.8488 Å, α = 90.00°, β = 90.00° and γ = 120.00°. The inequivalent atoms are Tb at (0.0000, 0.0000, 0.0000), Pu at (0.6667, 0.3333, 0.5000) and Se at (0.3333, 0.6667, 0.0000).

The calculation puts the polymorph energy (0 for the lowest one) at 241 meV per atom. Its energy relative to the elements, uncorrected is -529.9 meV/atom. The calculation puts the total moment at 6.3 μB/f.u. The calculation puts the electronic total energy at -24.0 eV for the cell shown.



Entry 8:
VASP calculation (GGA-PBE) on crystalline InCu2Pt at its relaxed geometry.

It has space group Fmmm (No. 69), with a = 5.601 Å, b = 5.669 Å, c = 7.646 Å, α = 90.00°, β = 90.00° and γ = 90.00°. The inequivalent atoms are In at (0.000, 0.000, 0.000), Cu at (0.250, 0.250, 0.250) and Pt at (0.000, 0.000, 0.500).

The calculation puts the total moment at 0.0 μB/f.u. The formation energy is -0.18 eV per atom. The calculation puts the electronic total energy at -70.7 eV for the cell shown.



Entry 9:
VASP calculation (GGA-PBE) on crystalline CrSb2IrI at its relaxed geometry.

It has space group P4/mmm (No. 123), with a = 4.975 Å, b = 4.975 Å, c = 5.111 Å, α = 90.00°, β = 90.00° and γ = 90.00°. The inequivalent atoms are Cr at (0.000, 0.000, 0.000), Sb at (0.000, 0.500, 0.000), Ir at (0.500, 0.500, 0.500) and I at (0.000, 0.000, 0.500).

The calculation puts the polymorph energy (0 for the lowest one) at 0 meV per atom. Its energy relative to the elements, uncorrected is 1174.4 meV/atom. The calculation puts the total moment at 1.5 μB/f.u. The calculation puts the electronic total energy at -22.4 eV for the cell shown.



Entry 10:
VASP calculation (GGA-PBE) on crystalline TiPb2F2 at its relaxed geometry.

It has space group I4/mmm (No. 139), with a = 3.639 Å, b = 3.639 Å, c = 14.105 Å, α = 90.00°, β = 90.00° and γ = 90.00°. The inequivalent atoms are Ti at (0.000, 0.000, 0.000), Pb at (0.000, 0.000, 0.375) and F at (0.000, 0.500, 0.250).

The calculation puts the polymorph energy (0 for the lowest one) at 0 meV per atom. Its energy relative to the elements, uncorrected is -808.8 meV/atom. The calculation puts the total moment at 1.3 μB/f.u. The calculation puts the electronic total energy at -46.2 eV for the cell shown.



Entry 11:
VASP calculation (GGA-PBE) on crystalline Mg2In9Ga at its relaxed geometry.

It has space group P4/mmm (No. 123), with a = 4.645 Å, b = 4.645 Å, c = 13.961 Å, α = 90.00°, β = 90.00° and γ = 90.00°. The inequivalent atoms are Mg at (0.000, 0.000, 0.165), In at (0.000, 0.500, 0.000), In at (0.000, 0.500, 0.332), In at (0.500, 0.500, 0.163), In at (0.500, 0.500, 0.500) and Ga at (0.000, 0.000, 0.500).

The calculation puts the total moment at 0.0 μB/f.u. The formation energy is 0.00 eV per atom. The calculation puts the electronic total energy at -30.9 eV for the cell shown.



Entry 12:
VASP calculation (GGA-PBE) on crystalline Y2Mg3Cd2 at its relaxed geometry.

It has space group Cmmm (No. 65), with a = 4.869 Å, b = 21.684 Å, c = 3.362 Å, α = 90.00°, β = 90.00° and γ = 90.00°. The inequivalent atoms are Y at (0.000, 0.155, 0.000), Mg at (0.000, 0.000, 0.000), Mg at (0.000, 0.428, 0.500) and Cd at (0.000, 0.288, 0.500).

The calculation puts the total moment at 0.0 μB/f.u. The formation energy is -0.15 eV per atom. The calculation puts the electronic total energy at -41.2 eV for the cell shown.



Entry 13:
VASP calculation (GGA-PBE) on crystalline LiSmAu4 at its relaxed geometry.

It has space group F-43m (No. 216), with a = 7.892 Å, b = 7.892 Å, c = 7.892 Å, α = 90.00°, β = 90.00° and γ = 90.00°. The inequivalent atoms are Li at (0.000, 0.000, 0.000), Sm at (0.250, 0.250, 0.750) and Au at (0.126, 0.126, 0.374).

The calculation puts the polymorph energy (0 for the lowest one) at 63 meV per atom. The calculation puts the total moment at 0.0 μB/f.u. The formation energy is -0.49 eV per atom. The calculation puts the electronic total energy at -90.8 eV for the cell shown.



Entry 14:
VASP calculation (GGA-PBE) on crystalline Sc2AlNi5Ge2 at its relaxed geometry.

It has space group P4/mbm (No. 127), with a = 9.268 Å, b = 9.268 Å, c = 3.333 Å, α = 90.00°, β = 90.00° and γ = 90.00°. The inequivalent atoms are Sc at (0.173, 0.327, 0.000), Al at (0.000, 0.000, 0.000), Ni at (0.000, 0.500, 0.500), Ni at (0.052, 0.798, 0.500) and Ge at (0.128, 0.628, 0.000).

The calculation puts the total moment at 0.0 μB/f.u. The formation energy is -0.48 eV per atom. The calculation puts the electronic total energy at -118.6 eV for the cell shown.



Entry 15:
VASP calculation (GGA-PBE) on crystalline La3PbO at its relaxed geometry.

It has space group Cmcm (No. 63), with a = 6.976 Å, b = 12.082 Å, c = 7.473 Å, α = 90.00°, β = 90.00° and γ = 90.00°. The inequivalent atoms are La at (0.000, 0.000, 0.000), La at (0.232, 0.272, 0.250), Pb at (0.000, 0.463, 0.750) and O at (0.000, 0.121, 0.750).

Its energy relative to the elements, uncorrected is -1191.2 meV/atom. The calculation puts the total moment at 0.0 μB/f.u. The calculation puts the electronic total energy at -117.6 eV for the cell shown.



Entry 16:
VASP calculation (GGA-PBE) on crystalline ZrSc3Rh2 at its relaxed geometry.

It has space group P4/mmm (No. 123), with a = 3.237 Å, b = 3.237 Å, c = 10.896 Å, α = 90.00°, β = 90.00° and γ = 90.00°. The inequivalent atoms are Zr at (0.000, 0.000, 0.000), Sc at (0.500, 0.500, 0.205), Sc at (0.500, 0.500, 0.500) and Rh at (0.000, 0.000, 0.352).

The calculation puts the polymorph energy (0 for the lowest one) at 0 meV per atom. The calculation puts the total moment at 0.0 μB/f.u. The formation energy is -0.66 eV per atom. The calculation puts the electronic total energy at -46.2 eV for the cell shown.



Entry 17:
VASP calculation (GGA-PBE) on crystalline CoAg4P at its relaxed geometry.

It has space group F-43m (No. 216), with a = 7.618 Å, b = 7.618 Å, c = 7.618 Å, α = 90.00°, β = 90.00° and γ = 90.00°. The inequivalent atoms are Co at (0.000, 0.000, 0.000), Ag at (0.125, 0.125, 0.375) and P at (0.250, 0.250, 0.750).

The calculation puts the total moment at 2.0 μB/f.u. The formation energy is 0.70 eV per atom. The calculation puts the electronic total energy at -78.8 eV for the cell shown.



Entry 18:
VASP calculation (GGA-PBE) on crystalline La3InCo at its relaxed geometry.

It has space group C2/c (No. 15), with a = 12.476 Å, b = 14.280 Å, c = 6.605 Å, α = 90.00°, β = 96.90° and γ = 90.00°. The inequivalent atoms are La at (0.113, 0.054, 0.012), La at (0.123, 0.297, 0.106), La at (0.137, 0.429, 0.590), In at (0.133, 0.185, 0.587), Co at (0.000, 0.149, 0.250) and Co at (0.000, 0.438, 0.250).

The calculation puts the polymorph energy (0 for the lowest one) at 49 meV per atom. The calculation puts the total moment at 0.0 μB/f.u. The formation energy is -0.24 eV per atom. The calculation puts the electronic total energy at -206.7 eV for the cell shown.



Entry 19:
VASP calculation (GGA-PBE) on crystalline Cd5Ge2Au5 at its relaxed geometry.

It has space group C2/m (No. 12), with a = 8.044 Å, b = 4.632 Å, c = 13.516 Å, α = 90.00°, β = 100.81° and γ = 90.00°. The inequivalent atoms are Cd at (0.000, 0.000, 0.000), Cd at (0.191, 0.000, 0.577), Cd at (0.217, 0.500, 0.156), Ge at (0.067, 0.500, 0.720), Au at (0.000, 0.500, 0.500), Au at (0.105, 0.000, 0.296) and Au at (0.144, 0.500, 0.928).

The calculation puts the total moment at 0.0 μB/f.u. The formation energy is -0.06 eV per atom. The calculation puts the electronic total energy at -61.9 eV for the cell shown.



Entry 20:
VASP calculation (GGA-PBE) on crystalline K3Os2PdO9 at its relaxed geometry.

It has space group P-3m1 (No. 164), with a = 5.6682 Å, b = 5.6682 Å, c = 7.2932 Å, α = 90.00°, β = 90.00° and γ = 120.00°. The inequivalent atoms are K at (0.0000, 0.0000, 0.0000), K at (0.3333, 0.6667, 0.6641), Os at (0.3333, 0.6667, 0.1625), Pd at (0.0000, 0.0000, 0.5000), O at (0.0000, 0.5000, 0.0000) and O at (0.1746, 0.3493, 0.2962).

Its energy relative to the elements, uncorrected is -1085.7 meV/atom. The calculation puts the total moment at 1.3 μB/f.u. The calculation puts the electronic total energy at -91.9 eV for the cell shown.